1.
Density functional theory data (PBE) for crystalline Zr2Ge2Bi at its relaxed geometry.

Cell and atoms, written as CIF:
```
data_Zr2Ge2Bi
_chemical_formula_sum 'Zr4 Ge4 Bi2'
_space_group_name_H-M_alt 'I 4/m m m'
_space_group_IT_number 139
_space_group_name_Hall '-I 4 2'
_cell_length_a 3.7979
_cell_length_b 3.7979
_cell_length_c 15.0621
_cell_angle_alpha 90.00
_cell_angle_beta 90.00
_cell_angle_gamma 90.00
loop_
_atom_site_label
_atom_site_fract_x
_atom_site_fract_y
_atom_site_fract_z
Zr1 0.0000 0.0000 0.1089
Ge1 0.0000 0.5000 0.2500
Bi1 0.0000 0.0000 0.5000
```

As for the size of the total moment: 0.0 μB/cell. The value obtained for the density of states at the Fermi level is 0.75 states/eV per atom. For the volume, the calculation gives 217.3 Å³/cell. As for the crystal system: tetragonal. The energy relative to the lowest polymorph listed for this composition comes out at 0.0 kJ/mol of atoms.

2.
Density functional theory data (PBE) for crystalline Zr3GeBi at its relaxed geometry.

Cell and atoms, written as CIF:
```
data_Zr3GeBi
_chemical_formula_sum 'Zr12 Ge4 Bi4'
_space_group_name_H-M_alt 'C m m m'
_space_group_IT_number 65
_space_group_name_Hall '-C 2 2'
_cell_length_a 9.8348
_cell_length_b 12.3672
_cell_length_c 4.0951
_cell_angle_alpha 90.00
_cell_angle_beta 90.00
_cell_angle_gamma 90.00
loop_
_atom_site_label
_atom_site_fract_x
_atom_site_fract_y
_atom_site_fract_z
Zr1 0.0000 0.1845 0.0000
Zr2 0.1847 0.3734 0.5000
Ge1 0.2500 0.2500 0.0000
Bi1 0.0000 0.0000 0.5000
Bi2 0.0000 0.5000 0.0000
```

As for the size of the total moment: 0.0 μB/cell. The value obtained for the density of states at the Fermi level is 0.83 states/eV per atom. For the volume, the calculation gives 498.1 Å³/cell. As for the crystal system: orthorhombic. The energy relative to the lowest polymorph listed for this composition comes out at 0.0 kJ/mol of atoms.

3.
Density functional theory data (PBE) for crystalline Zr2GeBi at its relaxed geometry.

Cell and atoms, written as CIF:
```
data_Zr2GeBi
_chemical_formula_sum 'Zr6 Ge3 Bi3'
_space_group_name_H-M_alt 'R 3 m'
_space_group_IT_number 160
_space_group_name_Hall 'R 3 -2"'
_cell_length_a 3.9484
_cell_length_b 3.9484
_cell_length_c 21.0782
_cell_angle_alpha 90.00
_cell_angle_beta 90.00
_cell_angle_gamma 120.00
loop_
_atom_site_label
_atom_site_fract_x
_atom_site_fract_y
_atom_site_fract_z
Zr1 0.0000 0.0000 0.0000
Zr2 0.0000 0.0000 0.1927
Ge1 0.0000 0.0000 0.5983
Bi1 0.0000 0.0000 0.4294
```

As for the size of the total moment: 0.0 μB/cell. The value obtained for the density of states at the Fermi level is 0.68 states/eV per atom. For the volume, the calculation gives 284.6 Å³/cell. As for the crystal system: trigonal. The energy relative to the lowest polymorph listed for this composition comes out at 0.0 kJ/mol of atoms.

4.
Density functional theory data (PBE) for crystalline Zr4GeBi at its relaxed geometry.

Cell and atoms, written as CIF:
```
data_Zr4GeBi
_chemical_formula_sum 'Zr16 Ge4 Bi4'
_space_group_name_H-M_alt 'C 1 2/c 1'
_space_group_IT_number 15
_cell_length_a 7.9772
_cell_length_b 12.6948
_cell_length_c 5.6440
_cell_angle_alpha 90.00
_cell_angle_beta 110.53
_cell_angle_gamma 90.00
loop_
_space_group_symop_operation_xyz
'x,y,z'
'-x,-y,-z'
'-x,y,-z+1/2'
'x,-y,z+1/2'
'x+1/2,y+1/2,z'
'-x+1/2,-y+1/2,-z'
'-x+1/2,y+1/2,-z+1/2'
'x+1/2,-y+1/2,z+1/2'
loop_
_atom_site_label
_atom_site_fract_x
_atom_site_fract_y
_atom_site_fract_z
Zr1 0.0944 0.1857 0.0563
Zr2 0.2075 0.4043 0.3588
Ge1 0.0000 0.0036 0.7500
Bi1 0.0000 0.3878 0.7500
```

As for the size of the total moment: 0.0 μB/cell. The calculation puts the electronic total energy at -7.5684 eV per atom. The value obtained for the density of states at the Fermi level is 0.67 states/eV per atom. For the volume, the calculation gives 535.3 Å³/cell. As for the crystal system: monoclinic.

5.
Density functional theory data (PBE) for crystalline Zr2Ge2Bi at its relaxed geometry.

Cell and atoms, written as CIF:
```
data_Zr2Ge2Bi
_chemical_formula_sum 'Zr4 Ge4 Bi2'
_space_group_name_H-M_alt 'P 4/m b m'
_space_group_IT_number 127
_space_group_name_Hall '-P 4 2ab'
_cell_length_a 7.6790
_cell_length_b 7.6790
_cell_length_c 3.7137
_cell_angle_alpha 90.00
_cell_angle_beta 90.00
_cell_angle_gamma 90.00
loop_
_atom_site_label
_atom_site_fract_x
_atom_site_fract_y
_atom_site_fract_z
Zr1 0.1514 0.3486 0.0000
Ge1 0.1440 0.6440 0.5000
Bi1 0.0000 0.0000 0.0000
```

As for the size of the total moment: 0.0 μB/cell. The value obtained for the density of states at the Fermi level is 0.60 states/eV per atom. For the volume, the calculation gives 219.0 Å³/cell. As for the crystal system: tetragonal. The energy relative to the lowest polymorph listed for this composition comes out at 9.8 kJ/mol of atoms.

6.
Density functional theory data (PBE) for crystalline Zr3GeBi at its relaxed geometry.

Cell and atoms, written as CIF:
```
data_Zr3GeBi
_chemical_formula_sum 'Zr3 Ge1 Bi1'
_space_group_name_H-M_alt 'P m -3 m'
_space_group_IT_number 221
_space_group_name_Hall '-P 4 2 3'
_cell_length_a 5.3828
_cell_length_b 5.3828
_cell_length_c 5.3828
_cell_angle_alpha 90.00
_cell_angle_beta 90.00
_cell_angle_gamma 90.00
loop_
_atom_site_label
_atom_site_fract_x
_atom_site_fract_y
_atom_site_fract_z
Zr1 0.0000 0.0000 0.5000
Ge1 0.5000 0.5000 0.5000
Bi1 0.0000 0.0000 0.0000
```

As for the size of the total moment: 0.0 μB/cell. The value obtained for the density of states at the Fermi level is 1.64 states/eV per atom. For the volume, the calculation gives 156.0 Å³/cell. As for the crystal system: cubic. The energy relative to the lowest polymorph listed for this composition comes out at 129.7 kJ/mol of atoms.

7.
Density functional theory data (PBE) for crystalline Zr3GeBi at its relaxed geometry.

Cell and atoms, written as CIF:
```
data_Zr3GeBi
_chemical_formula_sum 'Zr3 Ge1 Bi1'
_space_group_name_H-M_alt 'P m -3 m'
_space_group_IT_number 221
_space_group_name_Hall '-P 4 2 3'
_cell_length_a 5.0636
_cell_length_b 5.0636
_cell_length_c 5.0636
_cell_angle_alpha 90.00
_cell_angle_beta 90.00
_cell_angle_gamma 90.00
loop_
_atom_site_label
_atom_site_fract_x
_atom_site_fract_y
_atom_site_fract_z
Zr1 0.0000 0.0000 0.5000
Ge1 0.0000 0.0000 0.0000
Bi1 0.5000 0.5000 0.5000
```

As for the size of the total moment: 0.0 μB/cell. The value obtained for the density of states at the Fermi level is 1.17 states/eV per atom. For the volume, the calculation gives 129.8 Å³/cell. As for the crystal system: cubic. The energy relative to the lowest polymorph listed for this composition comes out at 32.6 kJ/mol of atoms.

8.
Density functional theory data (PBE) for crystalline Zr5GeBi2 at its relaxed geometry.

Cell and atoms, written as CIF:
```
data_Zr5GeBi2
_chemical_formula_sum 'Zr10 Ge2 Bi4'
_space_group_name_H-M_alt 'P b a m'
_space_group_IT_number 55
_cell_length_a 7.5779
_cell_length_b 11.5376
_cell_length_c 4.2526
_cell_angle_alpha 90.00
_cell_angle_beta 90.00
_cell_angle_gamma 90.00
loop_
_space_group_symop_operation_xyz
'x,y,z'
'-x,-y,-z'
'-x,-y,z'
'x,y,-z'
'x+1/2,-y+1/2,-z'
'-x+1/2,y+1/2,z'
'-x+1/2,y+1/2,-z'
'x+1/2,-y+1/2,z'
loop_
_atom_site_label
_atom_site_fract_x
_atom_site_fract_y
_atom_site_fract_z
Zr1 0.0000 0.0000 0.0000
Zr2 0.1377 0.2915 0.0000
Zr3 0.2061 0.5666 0.5000
Ge1 0.0000 0.5000 0.0000
Bi1 0.0857 0.8222 0.5000
```

As for the size of the total moment: 0.0 μB/cell. The calculation puts the electronic total energy at -7.3157 eV per atom. The value obtained for the density of states at the Fermi level is 0.96 states/eV per atom. For the volume, the calculation gives 371.8 Å³/cell. As for the crystal system: orthorhombic.